Record 1
# Zr2ZnSe (PBE-GGA, optimized geometry)
data_Zr2ZnSe
_chemical_formula_sum 'Zr4 Zn2 Se2'
_space_group_name_H-M_alt 'I m m 2'
_space_group_IT_number 44
_space_group_name_Hall 'I 2 -2'
_cell_length_a 3.377
_cell_length_b 8.357
_cell_length_c 5.771
_cell_angle_alpha 90.00
_cell_angle_beta 90.00
_cell_angle_gamma 90.00
loop_
_atom_site_label
_atom_site_type_symbol
_atom_site_fract_x
_atom_site_fract_y
_atom_site_fract_z
_atom_site_occupancy
Zr1 Zr 0.000 0.196 0.000 1
Zn1 Zn 0.000 0.500 0.788 1
Se1 Se 0.000 0.500 0.237 1
# E_form (uncorrected) in eV per atom: -0.533
# Total magnetization in μB/f.u.: 0.0
# Energy relative to the lowest polymorph listed for this composition in eV/atom: 0.150

***

Record 2
# PrNd2Dy6Ho (PBE-GGA, optimized geometry)
data_PrNd2Dy6Ho
_chemical_formula_sum 'Pr4 Nd8 Dy24 Ho4'
_space_group_name_H-M_alt 'C 1 2/c 1'
_space_group_IT_number 15
_space_group_name_Hall '-C 2yc'
_cell_length_a 9.084
_cell_length_b 15.098
_cell_length_c 9.735
_cell_angle_alpha 90.00
_cell_angle_beta 98.57
_cell_angle_gamma 90.00
loop_
_atom_site_label
_atom_site_type_symbol
_atom_site_fract_x
_atom_site_fract_y
_atom_site_fract_z
_atom_site_occupancy
Pr1 Pr 0.000 0.019 0.250 1
Nd1 Nd 0.247 0.051 0.543 1
Dy1 Dy 0.068 0.191 0.943 1
Dy2 Dy 0.098 0.393 0.119 1
Dy3 Dy 0.205 0.224 0.314 1
Ho1 Ho 0.000 0.407 0.750 1
# Formation energy in eV/atom: 0.1166
# Total magnetization in μB/f.u.: 0.0

***

Record 3
# Sr3Sn2Rh2 (PBE-GGA, optimized geometry)
data_Sr3Sn2Rh2
_chemical_formula_sum 'Sr12 Sn8 Rh8'
_space_group_name_H-M_alt 'P b c m'
_space_group_IT_number 57
_space_group_name_Hall '-P 2c 2b'
_cell_length_a 6.257
_cell_length_b 8.481
_cell_length_c 14.518
_cell_angle_alpha 90.00
_cell_angle_beta 90.00
_cell_angle_gamma 90.00
loop_
_atom_site_label
_atom_site_type_symbol
_atom_site_fract_x
_atom_site_fract_y
_atom_site_fract_z
_atom_site_occupancy
Sr1 Sr 0.132 0.240 0.250 1
Sr2 Sr 0.350 0.603 0.595 1
Sn1 Sn 0.119 0.250 0.000 1
Sn2 Sn 0.349 0.590 0.250 1
Rh1 Rh 0.131 0.531 0.090 1
# Formation energy in eV/atom: -0.6299
# Total magnetization in μB/f.u.: 0.0

***

Record 4
# SiAg2P (PBE-GGA, optimized geometry)
data_SiAg2P
_chemical_formula_sum 'Si2 Ag4 P2'
_space_group_name_H-M_alt 'C m m 2'
_space_group_IT_number 35
_space_group_name_Hall 'C 2 -2'
_cell_length_a 3.332
_cell_length_b 5.059
_cell_length_c 8.233
_cell_angle_alpha 90.00
_cell_angle_beta 90.00
_cell_angle_gamma 90.00
loop_
_atom_site_label
_atom_site_type_symbol
_atom_site_fract_x
_atom_site_fract_y
_atom_site_fract_z
_atom_site_occupancy
Si1 Si 0.000 0.000 0.000 1
Ag1 Ag 0.000 0.000 0.537 1
Ag2 Ag 0.000 0.500 0.258 1
P1 P 0.000 0.500 0.808 1
# E_form (uncorrected) in eV per atom: 0.354
# Total magnetization in μB/f.u.: 0.0
# Energy relative to the lowest polymorph listed for this composition in eV/atom: 0.192

***

Record 5
# Nb6FeRh3 (PBE-GGA, optimized geometry)
data_Nb6FeRh3
_chemical_formula_sum 'Nb12 Fe2 Rh6'
_space_group_name_H-M_alt 'C 1 2/m 1'
_space_group_IT_number 12
_space_group_name_Hall '-C 2y'
_cell_length_a 11.282
_cell_length_b 6.186
_cell_length_c 6.468
_cell_angle_alpha 90.00
_cell_angle_beta 121.10
_cell_angle_gamma 90.00
loop_
_atom_site_label
_atom_site_type_symbol
_atom_site_fract_x
_atom_site_fract_y
_atom_site_fract_z
_atom_site_occupancy
Nb1 Nb 0.093 0.248 0.353 1
Nb2 Nb 0.234 0.000 0.853 1
Fe1 Fe 0.000 0.000 0.500 1
Rh1 Rh 0.000 0.500 0.000 1
Rh2 Rh 0.247 0.500 0.734 1
# Formation energy in eV/atom: 0.3192
# Total magnetization in μB/f.u.: 0.0

***

Record 6
# KNaEuTaO5 (PBE-GGA, optimized geometry)
data_KNaEuTaO5
_chemical_formula_sum 'K2 Na2 Eu2 Ta2 O10'
_space_group_name_H-M_alt 'P 4/n m m'
_space_group_IT_number 129
_cell_length_a 5.761
_cell_length_b 5.761
_cell_length_c 8.358
_cell_angle_alpha 90.00
_cell_angle_beta 90.00
_cell_angle_gamma 90.00
loop_
_space_group_symop_operation_xyz
'x,y,z'
'-x,-y,-z'
'-y+1/2,x,z'
'y+1/2,-x,-z'
'-x+1/2,-y+1/2,z'
'x+1/2,y+1/2,-z'
'y,-x+1/2,z'
'-y,x+1/2,-z'
'x+1/2,-y,-z'
'-x+1/2,y,z'
'-y,-x,-z'
'y,x,z'
'-x,y+1/2,-z'
'x,-y+1/2,z'
'y+1/2,x+1/2,-z'
'-y+1/2,-x+1/2,z'
loop_
_atom_site_label
_atom_site_type_symbol
_atom_site_fract_x
_atom_site_fract_y
_atom_site_fract_z
_atom_site_occupancy
K1 K 0.250 0.750 0.000 1
Na1 Na 0.250 0.250 0.242 1
Eu1 Eu 0.250 0.750 0.500 1
Ta1 Ta 0.250 0.250 0.740 1
O1 O 0.020 0.020 0.670 1
O2 O 0.250 0.250 0.964 1
# E_form (uncorrected) in eV per atom: -2.534
# Total magnetization in μB/f.u.: 6.0

***

Record 7
# LiAc8Nd5 (PBE-GGA, optimized geometry)
data_LiAc8Nd5
_chemical_formula_sum 'Li2 Ac16 Nd10'
_space_group_name_H-M_alt 'I -4'
_space_group_IT_number 82
_space_group_name_Hall 'I -4'
_cell_length_a 10.281
_cell_length_b 10.281
_cell_length_c 10.937
_cell_angle_alpha 90.00
_cell_angle_beta 90.00
_cell_angle_gamma 90.00
loop_
_atom_site_label
_atom_site_type_symbol
_atom_site_fract_x
_atom_site_fract_y
_atom_site_fract_z
_atom_site_occupancy
Li1 Li 0.000 0.000 0.000 1
Ac1 Ac 0.068 0.174 0.345 1
Ac2 Ac 0.085 0.304 0.005 1
Nd1 Nd 0.000 0.500 0.250 1
Nd2 Nd 0.096 0.301 0.676 1
# Formation energy in eV/atom: 0.2152
# Total magnetization in μB/f.u.: 0.0

***

Record 8
# Rb2Pt (PBE-GGA, optimized geometry)
data_Rb2Pt
_chemical_formula_sum 'Rb2 Pt1'
_space_group_name_H-M_alt 'P -3 m 1'
_space_group_IT_number 164
_space_group_name_Hall '-P 3 2"'
_cell_length_a 5.2754
_cell_length_b 5.2754
_cell_length_c 5.0385
_cell_angle_alpha 90.00
_cell_angle_beta 90.00
_cell_angle_gamma 120.00
loop_
_atom_site_label
_atom_site_type_symbol
_atom_site_fract_x
_atom_site_fract_y
_atom_site_fract_z
_atom_site_occupancy
Rb1 Rb 0.3333 0.6667 0.2354 1
Pt1 Pt 0.0000 0.0000 0.5000 1
# Formation energy in eV/atom: 0.1313
# Total magnetization in μB/f.u.: 0.2

***

Record 9
# La2Tc2Rh (PBE-GGA, optimized geometry)
data_La2Tc2Rh
_chemical_formula_sum 'La4 Tc4 Rh2'
_space_group_name_H-M_alt 'P 4/m b m'
_space_group_IT_number 127
_space_group_name_Hall '-P 4 2ab'
_cell_length_a 6.921
_cell_length_b 6.921
_cell_length_c 4.635
_cell_angle_alpha 90.00
_cell_angle_beta 90.00
_cell_angle_gamma 90.00
loop_
_atom_site_label
_atom_site_type_symbol
_atom_site_fract_x
_atom_site_fract_y
_atom_site_fract_z
_atom_site_occupancy
La1 La 0.187 0.313 0.000 1
Tc1 Tc 0.117 0.617 0.500 1
Rh1 Rh 0.000 0.000 0.500 1
# Formation energy in eV/atom: 0.0367
# Total magnetization in μB/f.u.: 0.0

***

Record 10
# NaAcI2 (PBE-GGA, optimized geometry)
data_NaAcI2
_chemical_formula_sum 'Na1 Ac1 I2'
_space_group_name_H-M_alt 'P 4/m m m'
_space_group_IT_number 123
_space_group_name_Hall '-P 4 2'
_cell_length_a 4.180
_cell_length_b 4.180
_cell_length_c 7.988
_cell_angle_alpha 90.00
_cell_angle_beta 90.00
_cell_angle_gamma 90.00
loop_
_atom_site_label
_atom_site_type_symbol
_atom_site_fract_x
_atom_site_fract_y
_atom_site_fract_z
_atom_site_occupancy
Na1 Na 0.000 0.000 0.000 1
Ac1 Ac 0.000 0.000 0.500 1
I1 I 0.500 0.500 0.264 1
# E_form (uncorrected) in eV per atom: -0.965
# Total magnetization in μB/f.u.: 0.0
# Energy relative to the lowest polymorph listed for this composition in eV/atom: 0.079

***

Record 11
# CrPAu (PBE-GGA, optimized geometry)
data_CrPAu
_chemical_formula_sum 'Cr1 P1 Au1'
_space_group_name_H-M_alt 'P 3 m 1'
_space_group_IT_number 156
_space_group_name_Hall 'P 3 -2"'
_cell_length_a 3.7961
_cell_length_b 3.7961
_cell_length_c 3.9238
_cell_angle_alpha 90.00
_cell_angle_beta 90.00
_cell_angle_gamma 120.00
loop_
_atom_site_label
_atom_site_type_symbol
_atom_site_fract_x
_atom_site_fract_y
_atom_site_fract_z
_atom_site_occupancy
Cr1 Cr 0.0000 0.0000 0.0000 1
P1 P 0.6667 0.3333 0.2015 1
Au1 Au 0.3333 0.6667 0.5652 1
# Formation energy in eV/atom: 0.0872
# Total magnetization in μB/f.u.: 2.5
# Energy relative to the lowest polymorph listed for this composition in eV/atom: 0.018

***

Record 12
# CaLaIn (PBE-GGA, optimized geometry)
data_CaLaIn
_chemical_formula_sum 'Ca2 La2 In2'
_space_group_name_H-M_alt 'I 4 m m'
_space_group_IT_number 107
_space_group_name_Hall 'I 4 -2'
_cell_length_a 3.704
_cell_length_b 3.704
_cell_length_c 14.725
_cell_angle_alpha 90.00
_cell_angle_beta 90.00
_cell_angle_gamma 90.00
loop_
_atom_site_label
_atom_site_type_symbol
_atom_site_fract_x
_atom_site_fract_y
_atom_site_fract_z
_atom_site_occupancy
Ca1 Ca 0.000 0.000 0.000 1
La1 La 0.000 0.000 0.287 1
In1 In 0.000 0.000 0.642 1
# Formation energy in eV/atom: -0.3014
# Total magnetization in μB/f.u.: 0.0
# Energy relative to the lowest polymorph listed for this composition in eV/atom: 0.144

***

Record 13
# ScNi2AsH (PBE-GGA, optimized geometry)
data_ScNi2AsH
_chemical_formula_sum 'Sc1 Ni2 As1 H1'
_space_group_name_H-M_alt 'P 4/m m m'
_space_group_IT_number 123
_space_group_name_Hall '-P 4 2'
_cell_length_a 3.782
_cell_length_b 3.782
_cell_length_c 4.135
_cell_angle_alpha 90.00
_cell_angle_beta 90.00
_cell_angle_gamma 90.00
loop_
_atom_site_label
_atom_site_type_symbol
_atom_site_fract_x
_atom_site_fract_y
_atom_site_fract_z
_atom_site_occupancy
Sc1 Sc 0.000 0.000 0.000 1
Ni1 Ni 0.000 0.500 0.500 1
As1 As 0.500 0.500 0.000 1
H1 H 0.000 0.000 0.500 1
# Total magnetization in μB/f.u.: 0.0
# Energy relative to the lowest polymorph listed for this composition in eV/atom: 0.182

***

Record 14
# K2SiTe3 (PBE-GGA, optimized geometry)
data_K2SiTe3
_chemical_formula_sum 'K16 Si8 Te24'
_space_group_name_H-M_alt 'C 1 2/c 1'
_space_group_IT_number 15
_space_group_name_Hall '-C 2yc'
_cell_length_a 7.052
_cell_length_b 16.564
_cell_length_c 17.734
_cell_angle_alpha 90.00
_cell_angle_beta 90.87
_cell_angle_gamma 90.00
loop_
_atom_site_label
_atom_site_type_symbol
_atom_site_fract_x
_atom_site_fract_y
_atom_site_fract_z
_atom_site_occupancy
K1 K 0.143 0.191 0.369 1
K2 K 0.214 0.449 0.065 1
Si1 Si 0.232 0.475 0.332 1
Te1 Te 0.000 0.035 0.250 1
Te2 Te 0.000 0.389 0.250 1
Te3 Te 0.121 0.391 0.875 1
Te4 Te 0.180 0.124 0.568 1
# E_form (uncorrected) in eV per atom: -0.631
# Total magnetization in μB/f.u.: 0.0

***

Record 15
# Sr2LiReBi (PBE-GGA, optimized geometry)
data_Sr2LiReBi
_chemical_formula_sum 'Sr2 Li1 Re1 Bi1'
_space_group_name_H-M_alt 'P 4/m m m'
_space_group_IT_number 123
_space_group_name_Hall '-P 4 2'
_cell_length_a 6.376
_cell_length_b 6.376
_cell_length_c 5.154
_cell_angle_alpha 90.00
_cell_angle_beta 90.00
_cell_angle_gamma 90.00
loop_
_atom_site_label
_atom_site_type_symbol
_atom_site_fract_x
_atom_site_fract_y
_atom_site_fract_z
_atom_site_occupancy
Sr1 Sr 0.000 0.500 0.000 1
Li1 Li 0.000 0.000 0.500 1
Re1 Re 0.500 0.500 0.500 1
Bi1 Bi 0.500 0.500 0.000 1
# Formation energy in eV/atom: 0.8181
# Total magnetization in μB/f.u.: 2.0

***

Record 16
# Rb2Pu3BeO12 (PBE-GGA, optimized geometry)
data_Rb2Pu3BeO12
_chemical_formula_sum 'Rb6 Pu9 Be3 O36'
_space_group_name_H-M_alt 'R -3 m'
_space_group_IT_number 166
_space_group_name_Hall '-R 3 2"'
_cell_length_a 7.7769
_cell_length_b 7.7769
_cell_length_c 16.6552
_cell_angle_alpha 90.00
_cell_angle_beta 90.00
_cell_angle_gamma 120.00
loop_
_atom_site_label
_atom_site_type_symbol
_atom_site_fract_x
_atom_site_fract_y
_atom_site_fract_z
_atom_site_occupancy
Rb1 Rb 0.0000 0.0000 0.1269 1
Pu1 Pu 0.0000 0.5000 0.0000 1
Be1 Be 0.0000 0.0000 0.5000 1
O1 O 0.0727 0.5364 0.3666 1
O2 O 0.1047 0.5524 0.1043 1
# E_form (uncorrected) in eV per atom: -2.286
# Total magnetization in μB/f.u.: 4.0

***

Record 17
# Tm6AgHg (PBE-GGA, optimized geometry)
data_Tm6AgHg
_chemical_formula_sum 'Tm12 Ag2 Hg2'
_space_group_name_H-M_alt 'I 4/m m m'
_space_group_IT_number 139
_space_group_name_Hall '-I 4 2'
_cell_length_a 4.983
_cell_length_b 4.983
_cell_length_c 17.512
_cell_angle_alpha 90.00
_cell_angle_beta 90.00
_cell_angle_gamma 90.00
loop_
_atom_site_label
_atom_site_type_symbol
_atom_site_fract_x
_atom_site_fract_y
_atom_site_fract_z
_atom_site_occupancy
Tm1 Tm 0.000 0.000 0.249 1
Tm2 Tm 0.000 0.500 0.111 1
Ag1 Ag 0.000 0.000 0.500 1
Hg1 Hg 0.000 0.000 0.000 1
# Formation energy in eV/atom: -0.1791
# Total magnetization in μB/f.u.: 0.0

***

Record 18
# AcPrGaBi (PBE-GGA, optimized geometry)
data_AcPrGaBi
_chemical_formula_sum 'Ac4 Pr4 Ga4 Bi4'
_space_group_name_H-M_alt 'F -4 3 m'
_space_group_IT_number 216
_space_group_name_Hall 'F -4 2 3'
_cell_length_a 7.981
_cell_length_b 7.981
_cell_length_c 7.981
_cell_angle_alpha 90.00
_cell_angle_beta 90.00
_cell_angle_gamma 90.00
loop_
_atom_site_label
_atom_site_type_symbol
_atom_site_fract_x
_atom_site_fract_y
_atom_site_fract_z
_atom_site_occupancy
Ac1 Ac 0.000 0.000 0.000 1
Pr1 Pr 0.000 0.000 0.500 1
Ga1 Ga 0.250 0.250 0.750 1
Bi1 Bi 0.250 0.250 0.250 1
# Formation energy in eV/atom: -0.4935
# Total magnetization in μB/f.u.: 0.0

***

Record 19
# MnNb2Al (PBE-GGA, optimized geometry)
data_MnNb2Al
_chemical_formula_sum 'Mn1 Nb2 Al1'
_space_group_name_H-M_alt 'P 4/m m m'
_space_group_IT_number 123
_space_group_name_Hall '-P 4 2'
_cell_length_a 3.888
_cell_length_b 3.888
_cell_length_c 4.312
_cell_angle_alpha 90.00
_cell_angle_beta 90.00
_cell_angle_gamma 90.00
loop_
_atom_site_label
_atom_site_type_symbol
_atom_site_fract_x
_atom_site_fract_y
_atom_site_fract_z
_atom_site_occupancy
Mn1 Mn 0.000 0.000 0.000 1
Nb1 Nb 0.000 0.500 0.500 1
Al1 Al 0.500 0.500 0.000 1
# Formation energy in eV/atom: -0.1110
# Total magnetization in μB/f.u.: 2.4

***

Record 20
# LiHg2Os (PBE-GGA, optimized geometry)
data_LiHg2Os
_chemical_formula_sum 'Li1 Hg2 Os1'
_space_group_name_H-M_alt 'P 4/m m m'
_space_group_IT_number 123
_space_group_name_Hall '-P 4 2'
_cell_length_a 2.918
_cell_length_b 2.918
_cell_length_c 8.242
_cell_angle_alpha 90.00
_cell_angle_beta 90.00
_cell_angle_gamma 90.00
loop_
_atom_site_label
_atom_site_type_symbol
_atom_site_fract_x
_atom_site_fract_y
_atom_site_fract_z
_atom_site_occupancy
Li1 Li 0.000 0.000 0.000 1
Hg1 Hg 0.500 0.500 0.243 1
Os1 Os 0.000 0.000 0.500 1
# Formation energy in eV/atom: 0.4495
# Total magnetization in μB/f.u.: 1.1
# Energy relative to the lowest polymorph listed for this composition in eV/atom: 0.146

***

Record 21
# Ac10Pr4Sm (PBE-GGA, optimized geometry)
data_Ac10Pr4Sm
_chemical_formula_sum 'Ac20 Pr8 Sm2'
_space_group_name_H-M_alt 'I 4/m'
_space_group_IT_number 87
_space_group_name_Hall '-I 4'
_cell_length_a 13.173
_cell_length_b 13.173
_cell_length_c 8.305
_cell_angle_alpha 90.00
_cell_angle_beta 90.00
_cell_angle_gamma 90.00
loop_
_atom_site_label
_atom_site_type_symbol
_atom_site_fract_x
_atom_site_fract_y
_atom_site_fract_z
_atom_site_occupancy
Ac1 Ac 0.000 0.500 0.250 1
Ac2 Ac 0.100 0.199 0.249 1
Pr1 Pr 0.100 0.700 0.500 1
Sm1 Sm 0.000 0.000 0.000 1
# Formation energy in eV/atom: 0.5834
# Total magnetization in μB/f.u.: 0.0

***

Record 22
# BeRu2Rh (PBE-GGA, optimized geometry)
data_BeRu2Rh
_chemical_formula_sum 'Be2 Ru4 Rh2'
_space_group_name_H-M_alt 'C 1 2/m 1'
_space_group_IT_number 12
_space_group_name_Hall '-C 2y'
_cell_length_a 4.971
_cell_length_b 7.866
_cell_length_c 2.687
_cell_angle_alpha 90.00
_cell_angle_beta 90.28
_cell_angle_gamma 90.00
loop_
_atom_site_label
_atom_site_type_symbol
_atom_site_fract_x
_atom_site_fract_y
_atom_site_fract_z
_atom_site_occupancy
Be1 Be 0.000 0.000 0.000 1
Ru1 Ru 0.250 0.250 0.500 1
Rh1 Rh 0.000 0.500 0.000 1
# Formation energy in eV/atom: 0.1223
# Total magnetization in μB/f.u.: 0.0